# Ca3Ag9Sn2

A relaxed Ca3Ag9Sn2 crystal (GGA-PBE, Alexandria via LeMat-Bulk).

abc: 4.6990 8.8381 8.8381
angles: 66.59 74.58 74.58
Atoms (fractional coordinates):
Ca  0.0000  0.0000  0.0000
Ca  0.7094  0.2906  0.2906
Ca  0.2906  0.7094  0.7094
Ag  0.0000  0.5000  0.5000
Ag  0.6653  0.9757  0.6936
Ag  0.3347  0.0243  0.3064
Ag  0.6653  0.6936  0.9757
Ag  0.3347  0.3064  0.0243
Ag  0.8622  0.8493  0.4263
Ag  0.1378  0.1507  0.5737
Ag  0.8622  0.4263  0.8493
Ag  0.1378  0.5737  0.1507
Sn  0.5000  0.3140  0.6860
Sn  0.5000  0.6860  0.3140

DFT formation energy (meV per atom): -214
Symmetry: Immm, No. 71

---

# TbPRu2C

A relaxed TbPRu2C crystal (GGA-PBE, Alexandria via LeMat-Bulk).

abc: 5.8433 5.8433 7.0772
angles: 90.00 90.00 142.03
Atoms (fractional coordinates):
Tb  0.9554  0.0446  0.2500
Tb  0.0446  0.9554  0.7500
P  0.2309  0.7691  0.2500
P  0.7691  0.2309  0.7500
Ru  0.3344  0.6656  0.9467
Ru  0.6656  0.3344  0.0533
Ru  0.3344  0.6656  0.5533
Ru  0.6656  0.3344  0.4467
C  0.5000  0.5000  0.5000
C  0.5000  0.5000  0.0000

DFT formation energy (meV per atom): -681
Symmetry: Cmcm, No. 63

---

# CrTc2Rh

A relaxed CrTc2Rh crystal (GGA-PBE, Alexandria via LeMat-Bulk).

abc: 4.2967 4.2967 4.2967
angles: 60.00 60.00 60.00
Last column: magnetic moment on the atom in μB.
Atoms (fractional coordinates):
Cr  0.0000  0.0000  0.0000  -0.07
Rh  0.5000  0.5000  0.5000  0.27
Tc  0.2500  0.2500  0.2500  0.10
Tc  0.7500  0.7500  0.7500  0.10

DFT formation energy (meV per atom): 311
Energy above the lowest structure with this stoichiometry (meV per atom): 294
Symmetry: Fm-3m, No. 225

---

# BeTc2TeF

A relaxed BeTc2TeF crystal (GGA-PBE, Alexandria via LeMat-Bulk).

abc: 4.0951 5.0266 4.0951
angles: 90.00 90.00 90.00
Last column: magnetic moment on the atom in μB.
Atoms (fractional coordinates):
Be  0.5000  0.5000  0.5000  -0.04
Te  0.0000  0.5000  0.0000  0.03
Tc  0.0000  0.0000  0.5000  1.14
Tc  0.5000  0.0000  0.0000  1.07
F  0.0000  0.0000  0.0000  0.00

Symmetry: P4/mmm, No. 123
E_tot (eV/atom): -4.932

---

# TbHo2PuSe4

A relaxed TbHo2PuSe4 crystal (GGA-PBE, Alexandria via LeMat-Bulk).

abc: 4.0669 7.0824 7.0890
angles: 109.14 90.00 90.00
Last column: magnetic moment on the atom in μB.
Atoms (fractional coordinates):
Tb  0.0000  0.0000  0.0000  0.06
Ho  0.5000  0.0000  0.5000  -0.03
Ho  0.0000  0.5000  0.5000  0.06
Pu  0.5000  0.5000  0.0000  5.48
Se  0.5000  0.2500  0.2548  -0.01
Se  0.5000  0.7500  0.7452  -0.01
Se  0.0000  0.2465  0.7442  -0.02
Se  0.0000  0.7535  0.2558  -0.02

Symmetry: P2/m, No. 10
E_tot (eV/atom): -6.968

---

# Hf2Be16Si

A relaxed Hf2Be16Si crystal (GGA-PBE, Alexandria via LeMat-Bulk).

abc: 5.6926 5.6926 5.6926
angles: 82.87 82.87 82.87
Atoms (fractional coordinates):
Hf  0.6591  0.6591  0.6591
Hf  0.3393  0.3393  0.3393
Be  0.7046  0.0011  0.2959
Be  0.0011  0.2959  0.7046
Be  0.2959  0.7046  0.0011
Be  0.0011  0.7046  0.2959
Be  0.7046  0.2959  0.0011
Be  0.2959  0.0011  0.7046
Be  0.3428  0.8383  0.3428
Be  0.8383  0.3428  0.3428
Be  0.3428  0.3428  0.8383
Be  0.6537  0.1653  0.6537
Be  0.1653  0.6537  0.6537
Be  0.6537  0.6537  0.1653
Be  0.0028  0.4931  0.0028
Be  0.4931  0.0028  0.0028
Be  0.0028  0.0028  0.4931
Be  0.1012  0.1012  0.1012
Si  0.9020  0.9020  0.9020

Symmetry: R3m, No. 160
E_tot (eV/atom): -4.682

---

# Mg4Ag5Hg2

A relaxed Mg4Ag5Hg2 crystal (GGA-PBE, Alexandria via LeMat-Bulk).

abc: 5.4044 7.9406 5.0778
angles: 83.93 103.58 91.70
Atoms (fractional coordinates):
Mg  0.4088  0.1835  0.4809
Mg  0.1498  0.7310  0.8368
Mg  0.5912  0.8165  0.5191
Mg  0.8502  0.2690  0.1632
Ag  0.7732  0.4546  0.6160
Ag  0.2268  0.5454  0.3840
Ag  0.9368  0.0848  0.7131
Ag  0.5000  0.0000  0.0000
Ag  0.0632  0.9152  0.2869
Hg  0.3005  0.3560  0.9302
Hg  0.6995  0.6440  0.0698

DFT formation energy (meV per atom): -156
Symmetry: P-1, No. 2

---

# SrPb2W

A relaxed SrPb2W crystal (GGA-PBE, Alexandria via LeMat-Bulk).

abc: 5.0966 5.0966 6.2505
angles: 74.14 74.14 45.60
Last column: magnetic moment on the atom in μB.
Atoms (fractional coordinates):
Pb  0.9786  0.9786  0.0661  -0.01
Pb  0.5214  0.5214  0.4339  -0.01
Sr  0.7500  0.7500  0.7500  0.00
W  0.2500  0.2500  0.2500  0.42

DFT formation energy (meV per atom): 536
Energy above the lowest structure with this stoichiometry (meV per atom): 85
Symmetry: C2/m, No. 12

---

# TiV4Cr

A relaxed TiV4Cr crystal (GGA-PBE, Alexandria via LeMat-Bulk).

abc: 4.2436 4.1869 9.2598
angles: 90.00 88.96 90.00
Atoms (fractional coordinates):
Ti  0.0000  0.0000  0.0000
Ti  0.5000  0.5000  0.0000
V  0.9902  0.5000  0.1866
V  0.5098  0.0000  0.8134
V  0.4905  0.5000  0.3447
V  0.0095  0.0000  0.6553
V  0.0098  0.5000  0.8134
V  0.4902  0.0000  0.1866
V  0.5095  0.5000  0.6553
V  0.9905  0.0000  0.3447
Cr  0.5000  0.0000  0.5000
Cr  0.0000  0.5000  0.5000

DFT formation energy (meV per atom): 25
Energy above the lowest structure with this stoichiometry (meV per atom): 0
Symmetry: C2/m, No. 12

---

# ZnFeBr2

A relaxed ZnFeBr2 crystal (GGA-PBE, Alexandria via LeMat-Bulk).

abc: 3.7102 3.7102 9.3528
angles: 90.00 90.00 124.97
Last column: magnetic moment on the atom in μB.
Atoms (fractional coordinates):
Br  0.0000  0.0000  0.9179  0.00
Br  0.5000  0.5000  0.3335  0.13
Fe  0.0000  0.0000  0.5197  3.07
Zn  0.5000  0.5000  0.7290  -0.05

Energy above the lowest structure with this stoichiometry (meV per atom): 103
Symmetry: Cmm2, No. 35

---

# DyPu2O6

A relaxed DyPu2O6 crystal (GGA-PBE, Alexandria via LeMat-Bulk).

abc: 3.8228 3.8228 9.1251
angles: 90.00 90.00 120.00
Last column: magnetic moment on the atom in μB.
Atoms (fractional coordinates):
Dy  0.0000  0.0000  0.0000  0.00
Pu  0.3333  0.6667  0.6673  3.86
Pu  0.6667  0.3333  0.3327  3.86
O  0.0000  0.0000  0.2635  -0.13
O  0.3333  0.6667  0.9044  -0.07
O  0.6667  0.3333  0.5826  -0.16
O  0.6667  0.3333  0.0956  -0.07
O  0.0000  0.0000  0.7365  -0.13
O  0.3333  0.6667  0.4174  -0.16

Symmetry: P-3m1, No. 164
E_tot (eV/atom): -10.171

---

# SmCdPb

A relaxed SmCdPb crystal (GGA-PBE, Alexandria via LeMat-Bulk).

abc: 4.7499 4.4473 15.9077
angles: 90.00 90.00 90.00
Atoms (fractional coordinates):
Sm  0.0000  0.2500  0.9048
Sm  0.5000  0.7500  0.5952
Sm  0.5000  0.2500  0.4048
Sm  0.0000  0.7500  0.0952
Cd  0.5000  0.2500  0.7568
Cd  0.0000  0.7500  0.7432
Cd  0.0000  0.2500  0.2568
Cd  0.5000  0.7500  0.2432
Pb  0.5001  0.7500  0.9209
Pb  0.0001  0.2500  0.5791
Pb  0.9999  0.7500  0.4209
Pb  0.4999  0.2500  0.0791

DFT formation energy (meV per atom): -344
Symmetry: Cmcm, No. 63